No. 1
Computed, not measured: a relaxed Pm2Nd3Sm6Y crystal at the GGA-PBE level of DFT.

Summary:
DOS at the Fermi energy   34.61 states/eV/cell

Cell: 6.3117 10.9295 12.0878 Å, 90.00 100.04 90.00°
Space group C2/m (No. 12)
Asymmetric unit:
Pm 0.0000 0.1666 0.0000 (multiplicity 4)
Nd 0.0000 0.0000 0.5000 (multiplicity 2)
Nd 0.0000 0.3333 0.5000 (multiplicity 4)
Sm 0.2496 0.0000 0.2487 (multiplicity 4)
Sm 0.2505 0.1666 0.7516 (multiplicity 8)
Y 0.0000 0.5000 0.0000 (multiplicity 2)

=====

No. 2
Computed, not measured: a relaxed Pm2NdSmY crystal at the GGA-PBE level of DFT.

Summary:
DOS at the Fermi energy   31.72 states/eV/cell

Cell: 8.4483 11.8052 7.2479 Å, 90.00 90.00 90.00°
Space group Cmcm (No. 63)
Asymmetric unit:
Pm 0.1895 0.0000 0.0000 (multiplicity 8)
Nd 0.0000 0.2214 0.2500 (multiplicity 4)
Sm 0.0000 0.4829 0.2500 (multiplicity 4)
Y 0.0000 0.2365 0.7500 (multiplicity 4)

=====

No. 3
Computed, not measured: a relaxed PmNd2Sm6Y3 crystal at the GGA-PBE level of DFT.

Summary:
DOS at the Fermi energy   33.47 states/eV/cell

Cell: 6.2857 10.8874 12.0090 Å, 90.00 100.03 90.00°
Space group C2/m (No. 12)
Asymmetric unit:
Pm 0.0000 0.0000 0.0000 (multiplicity 2)
Nd 0.0000 0.3333 0.0000 (multiplicity 4)
Sm 0.2489 0.0000 0.7472 (multiplicity 4)
Sm 0.2493 0.3334 0.7471 (multiplicity 8)
Y 0.0000 0.1666 0.5000 (multiplicity 4)
Y 0.0000 0.5000 0.5000 (multiplicity 2)

=====

No. 4
Computed, not measured: a relaxed Pm2Nd4SmY2 crystal at the GGA-PBE level of DFT.

Summary:
DOS at the Fermi energy   28.52 states/eV/cell

Cell: 15.4861 5.1612 8.1347 Å, 90.00 108.53 90.00°
Space group C2/m (No. 12)
Asymmetric unit:
Pm 0.1111 0.0000 0.1675 (multiplicity 4)
Nd 0.0550 0.5000 0.8322 (multiplicity 4)
Nd 0.2222 0.0000 0.8323 (multiplicity 4)
Sm 0.0000 0.0000 0.5000 (multiplicity 2)
Y 0.1670 0.5000 0.4998 (multiplicity 4)

=====

No. 5
Computed, not measured: a relaxed Pm3NdSm6Y2 crystal at the GGA-PBE level of DFT.

Summary:
DOS at the Fermi energy   33.40 states/eV/cell

Cell: 6.2894 10.8907 12.0456 Å, 90.00 100.02 90.00°
Space group C2/m (No. 12)
Asymmetric unit:
Pm 0.0000 0.0000 0.0000 (multiplicity 2)
Pm 0.0000 0.3331 0.0000 (multiplicity 4)
Nd 0.0000 0.5000 0.5000 (multiplicity 2)
Sm 0.2496 0.0000 0.7489 (multiplicity 4)
Sm 0.2501 0.1667 0.2510 (multiplicity 8)
Y 0.0000 0.1666 0.5000 (multiplicity 4)

=====

No. 6
Computed, not measured: a relaxed Pm2Nd2Sm2Y crystal at the GGA-PBE level of DFT.

Summary:
DOS at the Fermi energy   20.16 states/eV/cell

Cell: 11.5169 5.1525 8.1551 Å, 90.00 98.07 90.00°
Space group C2/m (No. 12)
Asymmetric unit:
Pm 0.2144 0.0000 0.1415 (multiplicity 4)
Nd 0.1429 0.5000 0.4277 (multiplicity 4)
Sm 0.0712 0.0000 0.7151 (multiplicity 4)
Y 0.0000 0.5000 0.0000 (multiplicity 2)

=====

No. 7
Computed, not measured: a relaxed PmNd3SmY crystal at the GGA-PBE level of DFT.

Summary:
DOS at the Fermi energy   41.64 states/eV/cell

Cell: 5.9817 11.4533 12.0211 Å, 90.00 90.00 90.00°
Space group Cmcm (No. 63)
Asymmetric unit:
Pm 0.0000 0.0258 0.2500 (multiplicity 4)
Nd 0.0000 0.1699 0.5246 (multiplicity 8)
Nd 0.0000 0.3597 0.7500 (multiplicity 4)
Sm 0.0000 0.5000 0.0000 (multiplicity 4)
Y 0.0000 0.3321 0.2500 (multiplicity 4)

=====

No. 8
Computed, not measured: a relaxed Pm2NdSm2Y4 crystal at the GGA-PBE level of DFT.

Summary:
DOS at the Fermi energy   24.78 states/eV/cell

Cell: 18.9208 3.6457 9.6904 Å, 90.00 115.74 90.00°
Space group C2/m (No. 12)
Asymmetric unit:
Pm 0.1667 0.0000 0.0007 (multiplicity 4)
Nd 0.0000 0.5000 0.0000 (multiplicity 2)
Sm 0.1480 0.5000 0.6651 (multiplicity 4)
Y 0.0194 0.0000 0.3350 (multiplicity 4)
Y 0.1854 0.5000 0.3355 (multiplicity 4)

=====

No. 9
Computed, not measured: a relaxed PmNd2Sm2Y2 crystal at the GGA-PBE level of DFT.

Summary:
DOS at the Fermi energy   19.41 states/eV/cell

Cell: 11.4649 5.1348 8.1288 Å, 90.00 98.03 90.00°
Space group C2/m (No. 12)
Asymmetric unit:
Pm 0.0000 0.0000 0.0000 (multiplicity 2)
Nd 0.0715 0.5000 0.7151 (multiplicity 4)
Sm 0.1429 0.0000 0.4289 (multiplicity 4)
Y 0.2141 0.5000 0.1426 (multiplicity 4)

=====

No. 10
Computed, not measured: a relaxed PmNdSm2Y5 crystal at the GGA-PBE level of DFT.

Summary:
DOS at the Fermi energy   40.20 states/eV/cell

Cell: 8.7537 8.7537 15.6033 Å, 90.00 90.00 90.00°
Space group I4/mcm (No. 140)
Asymmetric unit:
Pm 0.0000 0.0000 0.2500 (multiplicity 4)
Nd 0.0000 0.5000 0.2500 (multiplicity 4)
Sm 0.1170 0.3830 0.0000 (multiplicity 8)
Y 0.0000 0.0000 0.0000 (multiplicity 4)
Y 0.2066 0.2934 0.3640 (multiplicity 16)

=====

No. 11
Computed, not measured: a relaxed Pm2Nd3SmY6 crystal at the GGA-PBE level of DFT.

Summary:
DOS at the Fermi energy   28.86 states/eV/cell

Cell: 6.2796 10.8734 11.8859 Å, 90.00 100.10 90.00°
Space group C2/m (No. 12)
Asymmetric unit:
Pm 0.0000 0.1666 0.0000 (multiplicity 4)
Nd 0.0000 0.0000 0.5000 (multiplicity 2)
Nd 0.0000 0.3333 0.5000 (multiplicity 4)
Sm 0.0000 0.5000 0.0000 (multiplicity 2)
Y 0.2495 0.3334 0.2491 (multiplicity 8)
Y 0.2496 0.0000 0.2492 (multiplicity 4)

=====

Taking the records one at a time from the top gives calculated total energy values of -116.9 -94.2 -123.6 -92.2 -120.2 -69.7 -118.3 -99.2 -73.1 -196.4 -134.4 eV for the cell shown.
Taking the records one at a time from the top gives energy of formation from the pure elements values of 0.013 0.380 0.014 0.015 0.013 0.013 0.111 -0.003 0.013 0.243 0.010 eV/atom.